## HfNb2B2 (meta-GGA SCAN)

Data for HfNb2B2 at its PBEsol-relaxed geometry.

Properties
**Formation energy from the elements**: -586 meV per atom
**Crystal system**: tetragonal
**Total magnetization**: 0.000 μB/f.u.
**Space group**: P4/mbm (127)

```
HfNb2B2
1.0
6.264 0.000 0.000
0.000 6.264 0.000
0.000 0.000 3.306
Hf Nb B
2 4 4
Cartesian
0.000 0.000 0.000 Hf
3.132 3.132 0.000 Hf
1.101 2.031 1.653 Nb
2.031 5.163 1.653 Nb
4.233 1.101 1.653 Nb
5.163 4.233 1.653 Nb
0.646 3.778 0.000 B
2.486 0.646 0.000 B
3.778 5.618 0.000 B
5.618 2.486 0.000 B
```

## HgPtCl (meta-GGA SCAN)

Data for HgPtCl at its PBEsol-relaxed geometry.

Properties
**Crystal system**: orthorhombic
**Total magnetization**: 0.000 μB/f.u.
**Formation energy from raw total energies**: 0.68 eV/f.u.
**Space group**: Fmm2 (42)

```
HgPtCl
1.0
3.203 0.000 0.000
0.000 5.467 0.000
0.000 0.000 12.721
Hg Pt Cl
4 4 4
Cartesian
0.000 0.000 0.000 Hg
0.000 2.734 6.360 Hg
1.601 0.000 6.360 Hg
1.601 2.734 0.000 Hg
0.000 0.000 8.505 Pt
0.000 2.734 2.145 Pt
1.601 0.000 2.145 Pt
1.601 2.734 8.505 Pt
0.000 0.000 4.090 Cl
0.000 2.734 10.451 Cl
1.601 0.000 10.451 Cl
1.601 2.734 4.090 Cl
```

## CuAgMo2 (meta-GGA SCAN)

Data for CuAgMo2 at its PBEsol-relaxed geometry.

Properties
**Formation energy from the elements**: 410 meV per atom
**Crystal system**: orthorhombic
**Total magnetization**: 0.000 μB/f.u.
**Space group**: Pmm2 (25)

```
CuAgMo2
1.0
2.593 0.000 0.000
0.000 4.044 0.000
0.000 0.000 5.619
Cu Ag Mo
1 1 2
Cartesian
0.000 0.000 0.000 Cu
1.297 2.022 4.294 Ag
0.000 0.000 2.753 Mo
1.297 2.022 1.387 Mo
```

## Mg3Ag2 (meta-GGA SCAN)

Data for Mg3Ag2 at its PBEsol-relaxed geometry.

Properties
**Formation energy from the elements**: -187 meV per atom
**Crystal system**: orthorhombic
**Total magnetization**: 0.000 μB/f.u.
**Space group**: Fdd2 (43)

```
Mg3Ag2
1.0
0.000 6.997 2.685
4.920 0.000 2.685
4.920 6.997 0.000
Mg Ag
6 4
Cartesian
0.000 0.000 0.000 Mg
2.460 3.498 1.343 Mg
4.513 5.543 2.677 Mg
5.328 8.451 2.677 Mg
7.788 9.041 4.020 Mg
6.973 11.949 4.020 Mg
5.144 2.799 2.489 Ag
7.157 6.297 3.832 Ag
4.697 11.195 2.489 Ag
2.684 7.696 3.832 Ag
```